A.
SiSnSeN2: relaxed, PBE.

Properties
V ... 17.4 A^3/atom
Density of states at the Fermi level ... 3.1 states/eV per cell

Geometry as CIF:
```
data_SiSnSeN2
_symmetry_space_group_name_H-M 'P 4/m m m'
_symmetry_Int_Tables_number 123
_symmetry_space_group_name_Hall '-P 4 2'
_cell_length_a 3.6489
_cell_length_b 3.6489
_cell_length_c 6.5452
_cell_angle_alpha 90.00
_cell_angle_beta 90.00
_cell_angle_gamma 90.00
loop_
_atom_site_label
_atom_site_fract_x
_atom_site_fract_y
_atom_site_fract_z
Si1 0.0000 0.0000 0.0000
Sn1 0.0000 0.0000 0.5000
Se1 0.5000 0.5000 0.5000
N1 0.0000 0.5000 0.0000
```


B.
SiSnSeN2: relaxed, PBE.

Properties
V ... 14.6 A^3/atom
Density of states at the Fermi level ... 1.6 states/eV per cell

Geometry as CIF:
```
data_SiSnSeN2
_symmetry_space_group_name_H-M 'P 4/m m m'
_symmetry_Int_Tables_number 123
_symmetry_space_group_name_Hall '-P 4 2'
_cell_length_a 3.7350
_cell_length_b 3.7350
_cell_length_c 5.2360
_cell_angle_alpha 90.00
_cell_angle_beta 90.00
_cell_angle_gamma 90.00
loop_
_atom_site_label
_atom_site_fract_x
_atom_site_fract_y
_atom_site_fract_z
Si1 0.0000 0.0000 0.0000
Sn1 0.5000 0.5000 0.5000
Se1 0.0000 0.0000 0.5000
N1 0.0000 0.5000 0.0000
```


Among the structures shown above, B is the most stable, with the second-best lying 0.135 eV/atom higher.